# PBE Tb2Pr2Te7, optimized geometry
# Calculated volume ... 439 Å³ per cell
# Magnetization ... 0.00 μB/atom
# ΔE_f (raw) ... -1.02 eV per atom
# D(E_F) ... 0.46 states/eV/atom
data_Tb2Pr2Te7
_chemical_formula_sum 'Tb2 Pr2 Te7'
_symmetry_space_group_name_H-M 'P 1'
_symmetry_Int_Tables_number 1
_symmetry_space_group_name_Hall 'P 1'
_cell_length_a 7.9267
_cell_length_b 7.9267
_cell_length_c 6.9907
_cell_angle_alpha 90.00
_cell_angle_beta 90.00
_cell_angle_gamma 90.28
loop_
_atom_site_label
_atom_site_type_symbol
_atom_site_fract_x
_atom_site_fract_y
_atom_site_fract_z
Tb1 Tb 0.2180 0.7820 0.0000
Tb2 Tb 0.7820 0.2180 0.0000
Pr1 Pr 0.2343 0.2343 0.5000
Pr2 Pr 0.7657 0.7657 0.5000
Te1 Te 0.0000 0.0000 0.2478
Te2 Te 0.0000 0.0000 0.7522
Te3 Te 0.0000 0.5000 0.2383
Te4 Te 0.0000 0.5000 0.7617
Te5 Te 0.5000 0.0000 0.2383
Te6 Te 0.5000 0.0000 0.7617
Te7 Te 0.5000 0.5000 0.5000

---

# PBE CeNdOsAu, optimized geometry
# Energy of formation from the pure elements ... -288 meV per atom
# Calculated volume ... 93 Å³ per cell
# Magnetization ... 0.14 μB/atom
# D(E_F) ... 1.83 states/eV/atom
data_CeNdOsAu
_chemical_formula_sum 'Ce1 Nd1 Os1 Au1'
_symmetry_space_group_name_H-M 'P 1'
_symmetry_Int_Tables_number 1
_symmetry_space_group_name_Hall 'P 1'
_cell_length_a 5.0797
_cell_length_b 5.0797
_cell_length_c 5.0797
_cell_angle_alpha 60.00
_cell_angle_beta 60.00
_cell_angle_gamma 60.00
loop_
_atom_site_label
_atom_site_type_symbol
_atom_site_fract_x
_atom_site_fract_y
_atom_site_fract_z
Ce1 Ce 0.0000 0.0000 0.0000
Nd1 Nd 0.5000 0.5000 0.5000
Os1 Os 0.7500 0.7500 0.7500
Au1 Au 0.2500 0.2500 0.2500

---

Question: magnetization of number 1 (Tb2Pr2Te7)?
Answer: 0.00 μB/atom